1.
Density functional theory data (PBE) for an optimized crystal structure of Al2ZnCu.

a b c (Å): 2.7682 2.7684 7.7252
angles (deg): 90.00 90.00 90.02
Atoms (fractional coordinates):
Zn (0.5000, 0.5000, 0.7283)
Al (0.0000, 0.0000, 0.9973)
Al (0.5000, 0.5000, 0.2757)
Cu (0.0000, 0.0000, 0.4987)

Properties
- Symmetry: P4mm
- E_tot: -13.06 eV/cell
- ΔE_f: -0.0508 eV per atom
- Total magnetic moment: 0.00 μB/atom


2.
Density functional theory data (PBE) for an optimized crystal structure of Al2ZnCu.

a b c (Å): 4.8079 4.8079 4.8079
angles (deg): 132.50 132.50 69.45
Atoms (fractional coordinates):
Zn (0.7500, 0.2500, 0.5000)
Al (0.0000, 0.0000, 0.0000)
Al (0.2500, 0.7500, 0.5000)
Cu (0.5000, 0.5000, 0.0000)

Properties
- Symmetry: I-4m2
- E_tot: -12.97 eV/cell
- ΔE_f: -0.0284 eV per atom
- Total magnetic moment: 0.00 μB/atom


3.
Density functional theory data (PBE) for an optimized crystal structure of Al3ZnCu5.

a b c (Å): 5.1560 7.3085 7.3087
angles (deg): 120.00 90.00 90.00
Atoms (fractional coordinates):
Al (0.7500, 0.3531, 0.3531)
Al (0.7500, 0.0000, 0.6469)
Al (0.7500, 0.6468, 0.0000)
Al (0.2500, 0.6469, 0.6469)
Al (0.2500, 0.0000, 0.3531)
Al (0.2500, 0.3532, 0.0000)
Zn (0.0000, 0.0000, 0.0000)
Zn (0.5000, 0.0000, 0.0000)
Cu (0.0000, 0.6667, 0.3333)
Cu (0.5000, 0.3333, 0.6667)
Cu (0.0000, 0.3333, 0.6667)
Cu (0.5000, 0.6667, 0.3333)
Cu (0.7500, 0.6824, 0.6824)
Cu (0.7500, 0.0000, 0.3176)
Cu (0.7500, 0.3176, 0.0000)
Cu (0.2500, 0.3176, 0.3176)
Cu (0.2500, 0.0000, 0.6824)
Cu (0.2500, 0.6824, 0.0000)

Properties
- Symmetry: P6_3/mcm
- E_tot: -68.13 eV/cell
- ΔE_f: -0.1200 eV per atom
- Total magnetic moment: 0.00 μB/atom


4.
Density functional theory data (PBE) for an optimized crystal structure of Al2ZnCu.

a b c (Å): 2.7804 3.8447 5.5223
angles (deg): 90.00 90.00 90.00
Atoms (fractional coordinates):
Zn (0.5000, 0.5000, 0.7449)
Al (0.0000, 0.0000, 0.9939)
Al (0.5000, 0.5000, 0.2676)
Cu (0.0000, 0.0000, 0.4935)

Properties
- Symmetry: Pmm2
- E_tot: -13.04 eV/cell
- ΔE_f: -0.0472 eV per atom
- Total magnetic moment: 0.00 μB/atom